Entry 1:
Here is BaCrGe3 after structural relaxation from Alexandria via LeMat-Bulk. Energies are from PBE.

Unit cell a=5.706 b=5.706 c=5.706 alpha=90.00 beta=90.00 gamma=90.00
Space group Pm-3m (No. 221)
Symmetry-distinct sites (fractional):
Ba: 0.000 0.000 0.000 (multiplicity 1)
Cr: 0.500 0.500 0.500 (multiplicity 1)
Ge: 0.000 0.000 0.500 (multiplicity 3)

## Properties
The total energy is -3.44 eV per atom.

Entry 2:
Here is BaCrGe3 after structural relaxation from Alexandria via LeMat-Bulk. Energies are from PBE.

Unit cell a=4.791 b=4.791 c=4.791 alpha=90.00 beta=90.00 gamma=90.00
Space group Pm-3m (No. 221)
Symmetry-distinct sites (fractional):
Ba: 0.000 0.000 0.000 (multiplicity 1)
Cr: 0.500 0.500 0.500 (multiplicity 1)
Ge: 0.000 0.500 0.500 (multiplicity 3)

## Properties
The total energy is -5.25 eV per atom.

Entry 3:
Here is BaNaCr2Ge after structural relaxation from Alexandria via LeMat-Bulk. Energies are from PBE.

Unit cell a=5.260 b=5.260 c=5.271 alpha=90.00 beta=90.00 gamma=90.00
Space group P4/mmm (No. 123)
Symmetry-distinct sites (fractional):
Ba: 0.000 0.000 0.000 (multiplicity 1)
Na: 0.500 0.500 0.500 (multiplicity 1)
Cr: 0.000 0.500 0.500 (multiplicity 2)
Ge: 0.500 0.500 0.000 (multiplicity 1)

## Properties
The total energy is -4.43 eV per atom.